DFT (PBE-GGA) results for crystalline Mn2AlNiAu at its relaxed geometry.

abc: 4.8671 4.7337 4.8671
angles: 90.00 90.00 90.00
Fractional coordinates of all 5 atoms:
Ni (0.0000, 0.5000, 0.0000)
Al (0.5000, 0.5000, 0.5000)
Au (0.0000, 0.0000, 0.0000)
Mn (0.5000, 0.0000, 0.0000)
Mn (0.0000, 0.0000, 0.5000)

Results
- energy relative to the elements (eV/f.u.) = 5.1



DFT (PBE-GGA) results for crystalline BaCuIrO6 at its relaxed geometry.

abc: 5.2046 5.5634 5.6554
angles: 94.57 92.44 57.67
Fractional coordinates of all 9 atoms:
O (0.9938, 0.3910, 0.3123)
O (0.5802, 0.3682, 0.7342)
O (0.3781, 0.6127, 0.3388)
O (0.5805, 0.0514, 0.2659)
O (0.3779, 0.0092, 0.6611)
O (0.9936, 0.6155, 0.6876)
Cu (0.6722, 0.6639, 0.5000)
Ir (0.3558, 0.3221, 0.5000)
Ba (0.0677, 0.9661, 0.0000)

Results
- ΔE_f (raw) (meV per atom) = -1059



DFT (PBE-GGA) results for crystalline Pr3ErTm2Se6 at its relaxed geometry.

abc: 7.0570 7.0570 7.4085
angles: 99.13 99.13 120.17
Fractional coordinates of all 12 atoms:
Tm (0.6665, 0.3335, 0.0000)
Tm (0.3335, 0.6665, 0.0000)
Se (0.4103, 0.0755, 0.2272)
Se (0.9245, 0.5897, 0.7728)
Se (0.5897, 0.9245, 0.7728)
Se (0.7409, 0.7409, 0.2268)
Se (0.0755, 0.4103, 0.2272)
Se (0.2591, 0.2591, 0.7732)
Er (0.0000, 0.0000, 0.0000)
Pr (0.8341, 0.1659, 0.5000)
Pr (0.5000, 0.5000, 0.5000)
Pr (0.1659, 0.8341, 0.5000)

Results
- ΔE_f (raw) (meV per atom) = -1773



DFT (PBE-GGA) results for crystalline CeScZnIn at its relaxed geometry.

abc: 5.1226 5.1226 5.1226
angles: 60.00 60.00 60.00
Fractional coordinates of all 4 atoms:
Sc (0.2500, 0.2500, 0.2500)
In (0.5000, 0.5000, 0.5000)
Ce (0.7500, 0.7500, 0.7500)
Zn (0.0000, 0.0000, 0.0000)

Results
- energy above the most stable polymorph in this dataset (meV/atom) = 41.5
- energy relative to the elements (eV/f.u.) = -1.2



DFT (PBE-GGA) results for crystalline Tb5Pm2Ho4 at its relaxed geometry.

abc: 6.6588 8.9143 10.1769
angles: 40.18 70.90 68.07
Fractional coordinates of all 11 atoms:
Tb (0.3520, 0.7297, 0.0936)
Tb (0.8248, 0.7297, 0.0936)
Tb (0.1752, 0.2703, 0.9064)
Tb (0.6480, 0.2703, 0.9064)
Tb (0.0000, 0.5000, 0.5000)
Ho (0.4116, 0.7696, 0.4071)
Ho (0.7565, 0.6796, 0.8075)
Ho (0.2435, 0.3204, 0.1925)
Ho (0.5884, 0.2304, 0.5929)
Pm (0.7991, 0.1024, 0.2993)
Pm (0.2009, 0.8976, 0.7007)

Results
- energy above the most stable polymorph in this dataset (meV/atom) = 145.2
- energy relative to the elements (eV/f.u.) = 1.8



DFT (PBE-GGA) results for crystalline Li3Sm2ErS6 at its relaxed geometry.

abc: 6.8678 6.8678 6.5966
angles: 99.94 99.94 120.03
Fractional coordinates of all 12 atoms:
Li (0.1617, 0.8383, 0.5000)
Li (0.8383, 0.1617, 0.5000)
Li (0.5000, 0.5000, 0.5000)
S (0.2422, 0.2422, 0.7485)
S (0.5906, 0.9159, 0.7471)
S (0.4094, 0.0841, 0.2529)
S (0.0841, 0.4094, 0.2529)
S (0.7578, 0.7578, 0.2515)
S (0.9159, 0.5906, 0.7471)
Sm (0.3330, 0.6670, 0.0000)
Sm (0.6670, 0.3330, 0.0000)
Er (0.0000, 0.0000, 0.0000)

Results
- ΔE_f (raw) (meV per atom) = -1821



Number 1: DOS at the Fermi energy 4.35 states/eV/f.u., DFT total energy -5.2097 eV/atom. Number 2: DOS at the Fermi energy 2.76 states/eV/f.u., DFT total energy -6.0177 eV/atom. Number 3: DOS at the Fermi energy 5.12 states/eV/f.u., DFT total energy -5.8355 eV/atom. Number 4: DOS at the Fermi energy 8.15 states/eV/f.u., DFT total energy -4.3699 eV/atom. Number 5: DOS at the Fermi energy 16.98 states/eV/f.u., DFT total energy -4.4709 eV/atom. Number 6: DOS at the Fermi energy 0.00 states/eV/f.u., DFT total energy -5.5304 eV/atom.